The following is a PBE with a Hubbard U calculation of Nd3Mo5O12 after structural relaxation, from Alexandria via LeMat-Bulk.

```
Nd3Mo5O12
1.0
-9.394 -0.219 -6.767
3.349 -10.842 2.306
-2.502 5.456 9.903
Nd Mo O
12 20 48
Direct
0.750 0.375 0.125
0.875 0.750 0.125
0.375 0.750 0.625
0.250 0.125 0.375
0.875 0.125 0.250
0.375 0.625 0.250
0.625 0.375 0.750
0.125 0.875 0.750
0.750 0.875 0.625
0.625 0.250 0.375
0.125 0.250 0.875
0.250 0.625 0.875
0.125 0.375 0.250
0.000 0.500 0.000
0.000 0.000 0.000
0.375 0.250 0.125
0.500 0.000 0.500
0.500 0.500 0.000
0.125 0.750 0.375
0.750 0.125 0.875
0.750 0.625 0.375
0.375 0.125 0.750
0.625 0.875 0.250
0.500 0.500 0.500
0.500 0.000 0.000
0.000 0.000 0.500
0.250 0.375 0.625
0.250 0.875 0.125
0.000 0.500 0.500
0.875 0.250 0.625
0.625 0.750 0.875
0.875 0.625 0.750
0.706 0.136 0.035
0.329 0.535 0.399
0.965 0.364 0.294
0.535 0.206 0.136
0.570 0.706 0.671
0.965 0.601 0.171
0.329 0.794 0.430
0.101 0.930 0.136
0.601 0.965 0.671
0.706 0.570 0.171
0.794 0.465 0.364
0.829 0.899 0.035
0.136 0.706 0.535
0.364 0.399 0.070
0.070 0.899 0.364
0.430 0.136 0.601
0.070 0.171 0.206
0.465 0.671 0.101
0.829 0.930 0.294
0.136 0.430 0.101
0.364 0.965 0.794
0.601 0.636 0.430
0.899 0.829 0.535
0.794 0.329 0.930
0.399 0.364 0.570
0.101 0.171 0.465
0.206 0.671 0.070
0.171 0.070 0.706
0.636 0.035 0.206
0.864 0.570 0.899
0.535 0.329 0.899
0.570 0.864 0.399
0.930 0.829 0.794
0.930 0.101 0.636
0.864 0.294 0.465
0.171 0.101 0.965
0.636 0.601 0.930
0.399 0.035 0.329
0.294 0.430 0.829
0.206 0.535 0.636
0.899 0.070 0.864
0.671 0.206 0.570
0.465 0.794 0.864
0.035 0.399 0.829
0.430 0.294 0.329
0.035 0.636 0.706
0.671 0.465 0.601
0.294 0.864 0.965
```

Calculated values
Space-group type   Ia-3d
Total magnetization   60.00 μB per cell
DFT total energy   -7.56 eV per atom